Li5Mn2CoO8: relaxed, PBE+U. Values from VASP.

Offset from the most stable computed form (eV per atom): 0.0400
M_tot (μB/atom): 0.13

Quantum ESPRESSO input file:
```
&SYSTEM
  ibrav = 0, nat = 16, ntyp = 4
/
ATOMIC_SPECIES
Li 6.94 Li.upf
Mn 54.94 Mn.upf
Co 58.93 Co.upf
O 16.00 O.upf
ATOMIC_POSITIONS angstrom
Li 0.0000 0.0000 0.0000
Li -1.4799 0.0000 5.8904
Li 4.0079 0.0000 0.9544
Li 3.2980 0.0000 3.7877
Li 8.1314 0.0000 1.7239
Mn -0.7418 0.0000 2.8236
Mn 7.2851 0.0000 4.8241
Co 2.7051 0.0000 6.9036
O -3.5717 0.0000 5.3402
O 1.9982 0.0000 0.3412
O 1.2068 0.0000 3.5208
O 0.5941 0.0000 6.0409
O 5.9988 0.0000 1.6364
O 5.3980 0.0000 4.1742
O 4.4816 0.0000 7.1841
O 10.1266 0.0000 2.4540
CELL_PARAMETERS angstrom
6.3200 -1.4596 0.0000
6.3200 1.4596 0.0000
-6.2081 0.0000 7.7715
```